Arrangement 1

SCAN Ta2AuCl, single point on PBEsol structure; DOS at the Fermi energy = 2.284 states/eV/f.u.
1.0
2.8977 0.0000 0.0000
0.0000 2.8977 0.0000
0.0000 0.0000 8.8087
Ta Au Cl
2 1 1
direct
0.0000 0.0000 0.0000 Ta
0.5000 0.5000 0.2483 Ta
0.0000 0.0000 0.4692 Au
0.5000 0.5000 0.8130 Cl

---

Arrangement 2

SCAN Ta2AuCl, single point on PBEsol structure; DOS at the Fermi energy = 3.155 states/eV/f.u.
1.0
0.0000 3.2046 3.2046
3.2046 0.0000 3.2046
3.2046 3.2046 0.0000
Ta Au Cl
2 1 1
direct
0.2500 0.2500 0.2500 Ta
0.7500 0.7500 0.7500 Ta
0.0000 0.0000 0.0000 Au
0.5000 0.5000 0.5000 Cl

---

How far above the most stable structure does each one sit? In meV/atom: arrangement 1 0; arrangement 2 409.

---

Arrangement 1

SCAN CrRu2Cl, single point on PBEsol structure; DOS at the Fermi energy = 4.162 states/eV/f.u.
1.0
2.6183 -4.1632 0.0000
2.6183 4.1632 0.0000
-1.3355 0.0000 2.4997
Cr Ru Cl
1 2 1
direct
0.0000 0.0000 0.0000 Cr
0.0000 0.5000 0.5000 Ru
0.5000 0.0000 0.5000 Ru
0.5000 0.5000 0.0000 Cl

---

Arrangement 2

SCAN CrRu2Cl, single point on PBEsol structure; DOS at the Fermi energy = 3.490 states/eV/f.u.
1.0
1.3769 -2.4131 0.0000
1.3769 2.4131 0.0000
0.0000 0.0000 8.3998
Cr Ru Cl
1 2 1
direct
0.0000 0.0000 0.0000 Cr
0.0000 0.0000 0.5024 Ru
0.5000 0.5000 0.2482 Ru
0.5000 0.5000 0.7776 Cl

---

How far above the most stable structure does each one sit? In meV/atom: arrangement 1 180; arrangement 2 0.

---

Arrangement 1

SCAN ZrSc2Mo, single point on PBEsol structure; DOS at the Fermi energy = 4.349 states/eV/f.u.
1.0
1.6773 -2.4054 0.0000
1.6773 2.4054 0.0000
0.0000 0.0000 9.8916
Zr Sc Mo
1 2 1
direct
0.0000 0.0000 0.0000 Zr
0.5000 0.5000 0.2811 Sc
0.5000 0.5000 0.7189 Sc
0.0000 0.0000 0.5000 Mo

---

Arrangement 2

SCAN ZrSc2Mo, single point on PBEsol structure; DOS at the Fermi energy = 3.471 states/eV/f.u.
1.0
3.9558 0.0000 0.0000
0.0000 4.1853 0.0000
0.0000 0.0000 4.7742
Zr Sc Mo
1 2 1
direct
0.0000 0.0000 0.0000 Zr
0.0000 0.5000 0.5000 Sc
0.5000 0.0000 0.5000 Sc
0.5000 0.5000 0.0000 Mo

---

How far above the most stable structure does each one sit? In meV/atom: arrangement 1 31; arrangement 2 0.

---

Arrangement 1

SCAN LiScPt2, single point on PBEsol structure; DOS at the Fermi energy = 0.964 states/eV/f.u.
1.0
2.8493 0.0000 0.0000
0.0000 4.0601 0.0000
0.0000 0.0000 5.3250
Li Sc Pt
1 1 2
direct
0.0000 0.0000 0.0000 Li
0.5000 0.5000 0.6933 Sc
0.0000 0.0000 0.4789 Pt
0.5000 0.5000 0.1768 Pt

---

Arrangement 2

SCAN LiScPt2, single point on PBEsol structure; DOS at the Fermi energy = 1.376 states/eV/f.u.
1.0
-1.9151 1.9151 4.1539
1.9151 -1.9151 4.1539
1.9151 1.9151 -4.1539
Li Sc Pt
1 1 2
direct
0.0000 0.0000 0.0000 Li
0.2500 0.7500 0.5000 Sc
0.5000 0.5000 0.0000 Pt
0.7500 0.2500 0.5000 Pt

---

How far above the most stable structure does each one sit? In meV/atom: arrangement 1 139; arrangement 2 0.

---

Arrangement 1

SCAN Li2NiOs, single point on PBEsol structure; DOS at the Fermi energy = 1.629 states/eV/f.u.
1.0
2.5008 -4.4040 0.0000
2.5008 4.4040 0.0000
-1.1267 0.0000 2.2147
Li Ni Os
2 1 1
direct
0.0000 0.5000 0.0000 Li
0.5000 0.0000 0.0000 Li
0.0000 0.0000 0.5000 Ni
0.5000 0.5000 0.5000 Os

---

Arrangement 2

SCAN Li2NiOs, single point on PBEsol structure; DOS at the Fermi energy = 1.928 states/eV/f.u.
1.0
4.3252 0.0000 0.0000
0.0000 4.3252 0.0000
0.0000 0.0000 2.4759
Li Ni Os
2 1 1
direct
0.0000 0.5000 0.0000 Li
0.5000 0.0000 0.0000 Li
0.0000 0.0000 0.5000 Ni
0.5000 0.5000 0.5000 Os

---

How far above the most stable structure does each one sit? In meV/atom: arrangement 1 0; arrangement 2 374.

---

Arrangement 1

SCAN CrCo3, single point on PBEsol structure; DOS at the Fermi energy = 4.030 states/eV/f.u.
1.0
2.4587 0.0000 0.0000
-1.2293 2.1293 0.0000
0.0000 0.0000 7.8723
Cr Co
1 3
direct
0.0000 0.0000 0.0000 Cr
0.0000 0.0000 0.5000 Co
0.3333 0.6667 0.2485 Co
0.3333 0.6667 0.7515 Co

---

Arrangement 2

SCAN CrCo3, single point on PBEsol structure; DOS at the Fermi energy = 3.884 states/eV/f.u.
1.0
-1.2275 3.9272 2.1218
1.2275 -3.9272 2.1218
1.2275 3.9272 -2.1218
Cr Co
1 3
direct
0.0000 0.0000 0.0000 Cr
0.4150 0.6643 0.7507 Co
0.5009 0.0009 0.5000 Co
0.9136 0.6643 0.2493 Co

---

How far above the most stable structure does each one sit? In meV/atom: arrangement 1 0; arrangement 2 10.

---

Arrangement 1

SCAN Sb2OsPt, single point on PBEsol structure; DOS at the Fermi energy = 2.512 states/eV/f.u.
1.0
-2.9605 2.9605 5.8218
2.9605 -2.9605 5.8218
2.9605 2.9605 -5.8218
Sb Os Pt
4 2 2
direct
0.1182 0.6250 0.9932 Sb
0.3750 0.3682 0.4932 Sb
0.6318 0.1250 0.0068 Sb
0.8750 0.8818 0.5068 Sb
0.0000 0.0000 0.0000 Os
0.7500 0.2500 0.5000 Os
0.2500 0.7500 0.5000 Pt
0.5000 0.5000 0.0000 Pt

---

Arrangement 2

SCAN Sb2OsPt, single point on PBEsol structure; DOS at the Fermi energy = 3.306 states/eV/f.u.
1.0
1.5285 -2.5796 0.0000
1.5285 2.5796 0.0000
0.0000 0.0000 10.0871
Sb Os Pt
2 1 1
direct
0.0000 0.0000 0.0000 Sb
0.5000 0.5000 0.3411 Sb
0.5000 0.5000 0.7839 Os
0.0000 0.0000 0.5648 Pt

---

How far above the most stable structure does each one sit? In meV/atom: arrangement 1 0; arrangement 2 336.

---

Arrangement 1

SCAN Ir2RuPt, single point on PBEsol structure; DOS at the Fermi energy = 3.736 states/eV/f.u.
1.0
-1.9123 1.9123 3.8434
1.9123 -1.9123 3.8434
1.9123 1.9123 -3.8434
Ir Ru Pt
2 1 1
direct
0.2500 0.7500 0.5000 Ir
0.7500 0.2500 0.5000 Ir
0.0000 0.0000 0.0000 Ru
0.5000 0.5000 0.0000 Pt

---

Arrangement 2

SCAN Ir2RuPt, single point on PBEsol structure; DOS at the Fermi energy = 3.669 states/eV/f.u.
1.0
1.3538 0.7816 8.8789
-1.3538 0.7816 8.8789
0.0000 -1.5632 8.8789
Ir Ru Pt
2 1 1
direct
0.2469 0.2469 0.2469 Ir
0.7531 0.7531 0.7531 Ir
0.5000 0.5000 0.5000 Ru
0.0000 0.0000 0.0000 Pt

---

How far above the most stable structure does each one sit? In meV/atom: arrangement 1 17; arrangement 2 0.

---

Arrangement 1

SCAN Li3Pt, single point on PBEsol structure; DOS at the Fermi energy = 1.335 states/eV/f.u.
1.0
2.7019 0.0000 0.0000
0.0000 4.2282 0.0000
-0.7773 0.0000 4.9282
Li Pt
3 1
direct
0.0000 0.0000 0.0000 Li
0.2125 0.5000 0.7229 Li
0.7875 0.5000 0.2771 Li
0.5000 0.0000 0.5000 Pt

---

Arrangement 2

SCAN Li3Pt, single point on PBEsol structure; DOS at the Fermi energy = 1.146 states/eV/f.u.
1.0
4.7856 0.0000 0.0000
0.0000 4.7856 0.0000
0.0000 0.0000 4.7856
Li Pt
6 2
direct
0.0000 0.2500 0.5000 Li
0.0000 0.7500 0.5000 Li
0.2500 0.5000 0.0000 Li
0.5000 0.0000 0.2500 Li
0.5000 0.0000 0.7500 Li
0.7500 0.5000 0.0000 Li
0.0000 0.0000 0.0000 Pt
0.5000 0.5000 0.5000 Pt

---

How far above the most stable structure does each one sit? In meV/atom: arrangement 1 6; arrangement 2 0.

---

Arrangement 1

SCAN FeSeCl2, single point on PBEsol structure; DOS at the Fermi energy = 3.496 states/eV/f.u.
1.0
3.0801 0.0000 0.0000
0.0000 4.1868 0.0000
0.0000 0.0000 5.6660
Fe Se Cl
1 1 2
direct
0.0000 0.0000 0.0000 Fe
0.5000 0.0000 0.5000 Se
0.0000 0.5000 0.5000 Cl
0.5000 0.5000 0.0000 Cl

---

Arrangement 2

SCAN FeSeCl2, single point on PBEsol structure; DOS at the Fermi energy = 2.321 states/eV/f.u.
1.0
1.5981 -3.2562 0.0000
1.5981 3.2562 0.0000
0.0000 0.0000 8.3872
Fe Se Cl
1 1 2
direct
0.0000 0.0000 0.0000 Fe
0.5000 0.5000 0.2000 Se
0.0000 0.0000 0.4495 Cl
0.5000 0.5000 0.8088 Cl

---

How far above the most stable structure does each one sit? In meV/atom: arrangement 1 301; arrangement 2 0.

---

Arrangement 1

SCAN Zn2RhBr, single point on PBEsol structure; DOS at the Fermi energy = 1.923 states/eV/f.u.
1.0
4.4505 0.0000 0.0000
0.0000 4.4505 0.0000
0.0000 0.0000 3.1671
Zn Rh Br
2 1 1
direct
0.0000 0.5000 0.0000 Zn
0.5000 0.0000 0.0000 Zn
0.0000 0.0000 0.5000 Rh
0.5000 0.5000 0.5000 Br

---

Arrangement 2

SCAN Zn2RhBr, single point on PBEsol structure; DOS at the Fermi energy = 0.513 states/eV/f.u.
1.0
0.0000 3.1546 3.1546
3.1546 0.0000 3.1546
3.1546 3.1546 0.0000
Zn Rh Br
2 1 1
direct
0.0000 0.0000 0.0000 Zn
0.2500 0.2500 0.2500 Zn
0.5000 0.5000 0.5000 Rh
0.7500 0.7500 0.7500 Br

---

How far above the most stable structure does each one sit? In meV/atom: arrangement 1 0; arrangement 2 205.

---

Arrangement 1

SCAN InTeRu2, single point on PBEsol structure; DOS at the Fermi energy = 3.300 states/eV/f.u.
1.0
0.0000 3.2686 3.2686
3.2686 0.0000 3.2686
3.2686 3.2686 0.0000
In Te Ru
1 1 2
direct
0.0000 0.0000 0.0000 In
0.7500 0.7500 0.7500 Te
0.2500 0.2500 0.2500 Ru
0.5000 0.5000 0.5000 Ru

---

Arrangement 2

SCAN InTeRu2, single point on PBEsol structure; DOS at the Fermi energy = 2.764 states/eV/f.u.
1.0
-2.2208 2.2208 3.3623
2.2208 -2.2208 3.3623
2.2208 2.2208 -3.3623
In Te Ru
1 1 2
direct
0.0000 0.0000 0.0000 In
0.5000 0.5000 0.0000 Te
0.2500 0.7500 0.5000 Ru
0.7500 0.2500 0.5000 Ru

---

How far above the most stable structure does each one sit? In meV/atom: arrangement 1 476; arrangement 2 0.